Entry 1:
# TbGaGeAu

An optimized crystal structure of TbGaGeAu (PBE, Alexandria).

Structure (POSCAR):
```
TbGaGeAu
1.0
0.000 3.458 3.458
3.458 0.000 3.458
3.458 3.458 0.000
Tb Ga Ge Au
1 1 1 1
Cartesian
0.000 0.000 0.000 Tb
3.458 3.458 3.458 Ga
5.188 5.188 5.188 Ge
1.729 1.729 1.729 Au
```

Calculated values
**Energy relative to the elements**: -159 kJ/mol of formula units

Entry 2:
# Tb2Ga3GeAu4

An optimized crystal structure of Tb2Ga3GeAu4 (PBE, Alexandria).

Structure (POSCAR):
```
Tb2Ga3GeAu4
1.0
4.300 0.000 0.000
0.000 4.300 0.000
0.000 0.000 10.994
Tb Ga Ge Au
2 3 1 4
Cartesian
0.000 2.150 2.633 Tb
2.150 0.000 8.361 Tb
0.000 2.150 9.518 Ga
2.150 0.000 1.476 Ga
2.150 2.150 5.497 Ga
0.000 0.000 5.497 Ge
0.000 0.000 0.000 Au
0.000 2.150 7.043 Au
2.150 0.000 3.951 Au
2.150 2.150 0.000 Au
```

Calculated values
**Energy relative to the elements**: -542 kJ/mol of formula units

Entry 3:
# GaGe2TeAu

An optimized crystal structure of GaGe2TeAu (PBE, Alexandria).

Structure (POSCAR):
```
GaGe2TeAu
1.0
4.845 0.000 0.000
0.000 4.845 0.000
0.000 0.000 5.455
Ga Ge Te Au
1 2 1 1
Cartesian
0.000 0.000 0.000 Ga
0.000 2.422 0.000 Ge
2.422 0.000 0.000 Ge
0.000 0.000 2.728 Te
2.422 2.422 2.728 Au
```

Calculated values
**Energy relative to the elements, uncorrected**: 0.6577 eV per atom